Entry 1:
A plane-wave DFT calculation with PBE was carried out for Tb2In3Au4 after structural relaxation.

Calculated values
DOS(E_F) in states/eV/cell: 2.981
SG: C2/m, No. 12
Formation enthalpy at 0 K in eV per atom: -0.5817
Crystal system: monoclinic

Cell lengths 4.929, 4.929, 9.514 Å; angles 90.25, 90.25, 60.13 degrees
Sites, in units of the cell vectors:
1 Tb 0.167 0.167 0.284
2 Tb 0.833 0.833 0.716
3 In 0.167 0.167 0.920
4 In 0.500 0.500 0.500
5 In 0.833 0.833 0.080
6 Au 0.166 0.166 0.598
7 Au 0.500 0.500 0.162
8 Au 0.500 0.500 0.838
9 Au 0.834 0.834 0.402

---

Entry 2:
A plane-wave DFT calculation with PBE was carried out for Tb3InAu2 after structural relaxation.

Calculated values
DOS(E_F) in states/eV/cell: 3.482
SG: P4/mmm, No. 123
Formation enthalpy at 0 K in eV per atom: -0.7280
Crystal system: tetragonal

Cell lengths 3.604, 3.604, 11.427 Å; angles 90.00, 90.00, 90.00 degrees
Sites, in units of the cell vectors:
1 Tb 0.000 0.000 0.000
2 Tb 0.000 0.000 0.317
3 Tb 0.000 0.000 0.683
4 In 0.500 0.500 0.500
5 Au 0.500 0.500 0.163
6 Au 0.500 0.500 0.837

---

Entry 3:
A plane-wave DFT calculation with PBE was carried out for Tb4InAu3 after structural relaxation.

Calculated values
DOS(E_F) in states/eV/cell: 5.329
SG: Pmmm, No. 47
Formation enthalpy at 0 K in eV per atom: -0.7390
Crystal system: orthorhombic

Cell lengths 3.643, 5.187, 10.357 Å; angles 90.00, 90.00, 90.00 degrees
Sites, in units of the cell vectors:
1 Tb 0.000 0.000 0.000
2 Tb 0.000 0.000 0.500
3 Tb 0.000 0.500 0.239
4 Tb 0.000 0.500 0.761
5 In 0.500 0.500 0.500
6 Au 0.500 0.000 0.257
7 Au 0.500 0.000 0.743
8 Au 0.500 0.500 0.000

---

Entry 4:
A plane-wave DFT calculation with PBE was carried out for Tb11In9Au4 after structural relaxation.

Calculated values
DOS(E_F) in states/eV/cell: 14.401
SG: Cmmm, No. 65
Formation enthalpy at 0 K in eV per atom: -0.6318
Crystal system: orthorhombic

Cell lengths 13.367, 13.367, 3.743 Å; angles 90.00, 90.00, 112.94 degrees
Sites, in units of the cell vectors:
1 Tb 0.000 0.000 0.000
2 Tb 0.067 0.413 0.000
3 Tb 0.161 0.839 0.000
4 Tb 0.303 0.303 0.000
5 Tb 0.369 0.631 0.000
6 Tb 0.413 0.067 0.000
7 Tb 0.587 0.933 0.000
8 Tb 0.631 0.369 0.000
9 Tb 0.697 0.697 0.000
10 Tb 0.839 0.161 0.000
11 Tb 0.933 0.587 0.000
12 In 0.067 0.213 0.500
13 In 0.155 0.633 0.500
14 In 0.213 0.067 0.500
15 In 0.367 0.845 0.500
16 In 0.500 0.500 0.500
17 In 0.633 0.155 0.500
18 In 0.787 0.933 0.500
19 In 0.845 0.367 0.500
20 In 0.933 0.787 0.500
21 Au 0.248 0.449 0.500
22 Au 0.449 0.248 0.500
23 Au 0.551 0.752 0.500
24 Au 0.752 0.551 0.500

---

Entry 5:
A plane-wave DFT calculation with PBE was carried out for TbIn2Au4 after structural relaxation.

Calculated values
DOS(E_F) in states/eV/cell: 5.443
SG: C2/m, No. 12
Formation enthalpy at 0 K in eV per atom: -0.4151
Crystal system: monoclinic

Cell lengths 8.227, 4.777, 8.262 Å; angles 90.00, 103.10, 90.00 degrees
Sites, in units of the cell vectors:
1 Tb 0.000 0.000 0.000
2 Tb 0.500 0.500 0.000
3 In 0.230 0.500 0.276
4 In 0.270 0.000 0.724
5 In 0.730 0.000 0.276
6 In 0.770 0.500 0.724
7 Au 0.095 0.000 0.378
8 Au 0.127 0.500 0.825
9 Au 0.373 0.000 0.175
10 Au 0.405 0.500 0.622
11 Au 0.595 0.500 0.378
12 Au 0.627 0.000 0.825
13 Au 0.873 0.500 0.175
14 Au 0.905 0.000 0.622

---

Entry 6:
A plane-wave DFT calculation with PBE was carried out for Tb2InAu after structural relaxation.

Calculated values
DOS(E_F) in states/eV/cell: 12.761
SG: R-3m, No. 166
Formation enthalpy at 0 K in eV per atom: -0.4895
Crystal system: trigonal

Cell lengths 3.877, 3.877, 25.945 Å; angles 90.00, 90.00, 120.00 degrees
Sites, in units of the cell vectors:
1 Tb 0.000 0.000 0.241
2 Tb 0.000 0.000 0.759
3 Tb 0.333 0.667 0.426
4 Tb 0.333 0.667 0.908
5 Tb 0.667 0.333 0.092
6 Tb 0.667 0.333 0.574
7 In 0.000 0.000 0.000
8 In 0.333 0.667 0.667
9 In 0.667 0.333 0.333
10 Au 0.000 0.000 0.500
11 Au 0.333 0.667 0.167
12 Au 0.667 0.333 0.833

---

Entry 7:
A plane-wave DFT calculation with PBE was carried out for Tb4InAu2 after structural relaxation.

Calculated values
DOS(E_F) in states/eV/cell: 8.172
SG: R-3m, No. 166
Formation enthalpy at 0 K in eV per atom: -0.4519
Crystal system: trigonal

Cell lengths 10.012, 10.012, 10.012 Å; angles 28.49, 28.49, 28.49 degrees
Sites, in units of the cell vectors:
1 Tb 0.118 0.118 0.118
2 Tb 0.296 0.296 0.296
3 Tb 0.704 0.704 0.704
4 Tb 0.882 0.882 0.882
5 In 0.500 0.500 0.500
6 Au 0.399 0.399 0.399
7 Au 0.601 0.601 0.601

---

Entry 8:
A plane-wave DFT calculation with PBE was carried out for Tb5InAu2 after structural relaxation.

Calculated values
DOS(E_F) in states/eV/cell: 21.318
SG: I4/mcm, No. 140
Formation enthalpy at 0 K in eV per atom: -0.5651
Crystal system: tetragonal

Cell lengths 8.751, 8.751, 8.751 Å; angles 124.76, 124.76, 81.93 degrees
Sites, in units of the cell vectors:
1 Tb 0.000 0.000 0.000
2 Tb 0.013 0.513 0.813
3 Tb 0.200 0.013 0.500
4 Tb 0.300 0.800 0.813
5 Tb 0.487 0.300 0.500
6 Tb 0.500 0.500 0.000
7 Tb 0.513 0.700 0.500
8 Tb 0.700 0.200 0.187
9 Tb 0.800 0.987 0.500
10 Tb 0.987 0.487 0.187
11 In 0.250 0.250 0.000
12 In 0.750 0.750 0.000
13 Au 0.136 0.364 0.500
14 Au 0.364 0.864 0.229
15 Au 0.636 0.136 0.771
16 Au 0.864 0.636 0.500

---

Entry 9:
A plane-wave DFT calculation with PBE was carried out for TbInAu2 after structural relaxation.

Calculated values
DOS(E_F) in states/eV/cell: 6.419
SG: Fm-3m, No. 225
Formation enthalpy at 0 K in eV per atom: -0.7105
Crystal system: cubic

Cell lengths 7.002, 7.002, 7.002 Å; angles 90.00, 90.00, 90.00 degrees
Sites, in units of the cell vectors:
1 Tb 0.000 0.000 0.000
2 Tb 0.000 0.500 0.500
3 Tb 0.500 0.000 0.500
4 Tb 0.500 0.500 0.000
5 In 0.000 0.000 0.500
6 In 0.000 0.500 0.000
7 In 0.500 0.000 0.000
8 In 0.500 0.500 0.500
9 Au 0.250 0.250 0.250
10 Au 0.250 0.250 0.750
11 Au 0.250 0.750 0.250
12 Au 0.250 0.750 0.750
13 Au 0.750 0.250 0.250
14 Au 0.750 0.250 0.750
15 Au 0.750 0.750 0.250
16 Au 0.750 0.750 0.750

---

Entry 10:
A plane-wave DFT calculation with PBE was carried out for TbIn3Au3 after structural relaxation.

Calculated values
DOS(E_F) in states/eV/cell: 10.230
SG: Pm-3n, No. 223
Formation enthalpy at 0 K in eV per atom: 0.1461
Crystal system: cubic

Cell lengths 7.493, 7.493, 7.493 Å; angles 90.00, 90.00, 90.00 degrees
Sites, in units of the cell vectors:
1 Tb 0.000 0.000 0.000
2 Tb 0.500 0.500 0.500
3 In 0.000 0.250 0.500
4 In 0.000 0.750 0.500
5 In 0.250 0.500 0.000
6 In 0.500 0.000 0.250
7 In 0.500 0.000 0.750
8 In 0.750 0.500 0.000
9 Au 0.000 0.500 0.250
10 Au 0.000 0.500 0.750
11 Au 0.250 0.000 0.500
12 Au 0.500 0.250 0.000
13 Au 0.500 0.750 0.000
14 Au 0.750 0.000 0.500

---

Entry 11:
A plane-wave DFT calculation with PBE was carried out for Tb2In5Au3 after structural relaxation.

Calculated values
DOS(E_F) in states/eV/cell: 7.062
SG: Cmc2_1, No. 36
Formation enthalpy at 0 K in eV per atom: -0.5001
Crystal system: orthorhombic

Cell lengths 13.728, 13.728, 7.543 Å; angles 90.00, 90.00, 160.89 degrees
Sites, in units of the cell vectors:
1 Tb 0.022 0.978 0.500
2 Tb 0.326 0.674 0.448
3 Tb 0.674 0.326 0.948
4 Tb 0.978 0.022 0.000
5 In 0.099 0.901 0.131
6 In 0.206 0.794 0.239
7 In 0.208 0.792 0.657
8 In 0.380 0.620 0.990
9 In 0.447 0.553 0.337
10 In 0.553 0.447 0.837
11 In 0.620 0.380 0.490
12 In 0.792 0.208 0.157
13 In 0.794 0.206 0.739
14 In 0.901 0.099 0.631
15 Au 0.109 0.891 0.747
16 Au 0.274 0.726 0.948
17 Au 0.456 0.544 0.721
18 Au 0.544 0.456 0.221
19 Au 0.726 0.274 0.448
20 Au 0.891 0.109 0.247

---

Entry 12:
A plane-wave DFT calculation with PBE was carried out for Tb8InAu2 after structural relaxation.

Calculated values
DOS(E_F) in states/eV/cell: 15.414
SG: C2/m, No. 12
Formation enthalpy at 0 K in eV per atom: -0.3052
Crystal system: monoclinic

Cell lengths 8.297, 8.297, 5.480 Å; angles 99.38, 99.38, 116.07 degrees
Sites, in units of the cell vectors:
1 Tb 0.088 0.327 0.588
2 Tb 0.234 0.766 0.000
3 Tb 0.327 0.088 0.588
4 Tb 0.396 0.396 0.195
5 Tb 0.604 0.604 0.805
6 Tb 0.673 0.912 0.412
7 Tb 0.766 0.234 0.000
8 Tb 0.912 0.673 0.412
9 In 0.000 0.000 0.000
10 Au 0.304 0.696 0.500
11 Au 0.696 0.304 0.500